First-principles (PBE) data for a relaxed structure of Rb3Cu5S12, as listed in Alexandria via LeMat-Bulk.

**Space-group type**: No. 230
**D(E_F)**: 47.5 states/eV/cell
**Formation energy from raw total energies**: -165 meV per atom

Cell lengths 13.665, 13.665, 13.665 Å; angles 109.47, 109.47, 109.47 degrees
Element x y z (fractional)
Rb 0.750 0.375 0.125
Rb 0.875 0.750 0.125
Rb 0.375 0.750 0.625
Rb 0.250 0.125 0.375
Rb 0.875 0.125 0.250
Rb 0.375 0.625 0.250
Rb 0.625 0.375 0.750
Rb 0.125 0.875 0.750
Rb 0.750 0.875 0.625
Rb 0.625 0.250 0.375
Rb 0.125 0.250 0.875
Rb 0.250 0.625 0.875
Cu 0.125 0.375 0.250
Cu 0.000 0.500 0.000
Cu 0.000 0.000 0.000
Cu 0.375 0.250 0.125
Cu 0.500 0.000 0.500
Cu 0.500 0.500 0.000
Cu 0.125 0.750 0.375
Cu 0.750 0.125 0.875
Cu 0.750 0.625 0.375
Cu 0.375 0.125 0.750
Cu 0.625 0.875 0.250
Cu 0.500 0.500 0.500
Cu 0.500 0.000 0.000
Cu 0.000 0.000 0.500
Cu 0.250 0.375 0.625
Cu 0.250 0.875 0.125
Cu 0.000 0.500 0.500
Cu 0.875 0.250 0.625
Cu 0.625 0.750 0.875
Cu 0.875 0.625 0.750
S 0.699 0.042 0.983
S 0.284 0.483 0.440
S 0.017 0.458 0.301
S 0.483 0.199 0.042
S 0.656 0.699 0.716
S 0.017 0.560 0.216
S 0.284 0.801 0.344
S 0.060 0.844 0.042
S 0.560 0.017 0.716
S 0.699 0.656 0.216
S 0.801 0.517 0.458
S 0.784 0.940 0.983
S 0.042 0.699 0.483
S 0.458 0.440 0.156
S 0.156 0.940 0.458
S 0.344 0.042 0.560
S 0.156 0.216 0.199
S 0.517 0.716 0.060
S 0.784 0.844 0.301
S 0.042 0.344 0.060
S 0.458 0.017 0.801
S 0.560 0.542 0.344
S 0.940 0.784 0.483
S 0.801 0.284 0.844
S 0.440 0.458 0.656
S 0.060 0.216 0.517
S 0.199 0.716 0.156
S 0.216 0.156 0.699
S 0.542 0.983 0.199
S 0.958 0.656 0.940
S 0.483 0.284 0.940
S 0.656 0.958 0.440
S 0.844 0.784 0.801
S 0.844 0.060 0.542
S 0.958 0.301 0.517
S 0.216 0.060 0.017
S 0.542 0.560 0.844
S 0.440 0.983 0.284
S 0.301 0.344 0.784
S 0.199 0.483 0.542
S 0.940 0.156 0.958
S 0.716 0.199 0.656
S 0.517 0.801 0.958
S 0.983 0.440 0.784
S 0.344 0.301 0.284
S 0.983 0.542 0.699
S 0.716 0.517 0.560
S 0.301 0.958 0.017